(1)
The following is a PBE calculation of an optimized crystal structure of TbPm5Sc4, from the Alexandria database.

Results
D(E_F)   14.71 states/eV/f.u.
Offset from the most stable computed form   0 meV per atom
Theoretical density   5.913 Mg/m³
Formation energy   45 meV per atom

Cell lengths 3.5674, 3.5674, 23.4725 Å; angles 90.00, 90.00, 90.00 degrees
Element x y z (fractional)
Tb 0.0000 0.0000 0.0000
Pm 0.5000 0.5000 0.1087
Pm 0.5000 0.5000 0.3050
Pm 0.5000 0.5000 0.5000
Pm 0.5000 0.5000 0.6950
Pm 0.5000 0.5000 0.8913
Sc 0.0000 0.0000 0.2071
Sc 0.0000 0.0000 0.4025
Sc 0.0000 0.0000 0.5975
Sc 0.0000 0.0000 0.7929

(2)
The following is a PBE calculation of an optimized crystal structure of Tb5Pm4Sc2, from the Alexandria database.

Results
D(E_F)   17.13 states/eV/f.u.
Offset from the most stable computed form   75 meV per atom
Theoretical density   6.889 Mg/m³
Formation energy   113 meV per atom

Cell lengths 11.9395, 11.9395, 8.5563 Å; angles 94.76, 94.76, 16.89 degrees
Element x y z (fractional)
Tb 0.0000 0.0000 0.0000
Tb 0.3174 0.3174 0.5244
Tb 0.3709 0.3709 0.9601
Tb 0.6291 0.6291 0.0399
Tb 0.6826 0.6826 0.4756
Pm 0.2244 0.2244 0.8247
Pm 0.4614 0.4614 0.6525
Pm 0.5386 0.5386 0.3475
Pm 0.7756 0.7756 0.1753
Sc 0.0877 0.0877 0.6977
Sc 0.9123 0.9123 0.3023

(3)
The following is a PBE calculation of an optimized crystal structure of TbPm8Sc2, from the Alexandria database.

Results
D(E_F)   17.81 states/eV/f.u.
Offset from the most stable computed form   0 meV per atom
Theoretical density   6.476 Mg/m³
Formation energy   123 meV per atom

Cell lengths 9.2937, 9.2937, 5.5066 Å; angles 107.15, 107.15, 53.58 degrees
Element x y z (fractional)
Tb 0.0000 0.0000 0.0000
Pm 0.1542 0.5595 0.8570
Pm 0.1611 0.1611 0.6613
Pm 0.3008 0.6992 0.5000
Pm 0.4405 0.8458 0.1430
Pm 0.5595 0.1542 0.8570
Pm 0.6992 0.3008 0.5000
Pm 0.8389 0.8389 0.3387
Pm 0.8458 0.4405 0.1430
Sc 0.2991 0.2991 0.2995
Sc 0.7009 0.7009 0.7005

(4)
The following is a PBE calculation of an optimized crystal structure of Tb4Pm3Sc2, from the Alexandria database.

Results
D(E_F)   13.71 states/eV/f.u.
Offset from the most stable computed form   77 meV per atom
Theoretical density   6.805 Mg/m³
Formation energy   117 meV per atom

Cell lengths 9.8534, 9.8534, 6.7156 Å; angles 94.78, 94.78, 60.79 degrees
Element x y z (fractional)
Tb 0.1717 0.7982 0.9845
Tb 0.1866 0.4342 0.1108
Tb 0.2018 0.8283 0.5155
Tb 0.4342 0.1866 0.6108
Tb 0.5658 0.8134 0.3892
Tb 0.7982 0.1717 0.4845
Tb 0.8134 0.5658 0.8892
Tb 0.8283 0.2018 0.0155
Pm 0.1008 0.2011 0.7372
Pm 0.2011 0.1008 0.2372
Pm 0.4916 0.5084 0.2500
Pm 0.5084 0.4916 0.7500
Pm 0.7989 0.8992 0.7628
Pm 0.8992 0.7989 0.2628
Sc 0.1190 0.5446 0.6282
Sc 0.4554 0.8810 0.8718
Sc 0.5446 0.1190 0.1282
Sc 0.8810 0.4554 0.3718